(1)
A geometry-optimized TlCuF3 structure. Source: Alexandria, functional GGA-PBE.

Properties
**Electronic total energy**: -3.572 eV/atom
**ΔE_f (raw)**: -1.16 eV per atom
**Fermi-level density of states**: 0.20 states/eV per atom

abc: 6.6377 6.6377 4.8928
angles: 90.00 90.00 132.48
With the nearest neighbours (Å) after each atom.
Atoms (fractional coordinates):
Tl (0.1593, 0.8407, 0.7500)  4 F 2.29-2.36
Tl (0.8407, 0.1593, 0.2500)  4 F 2.29-2.36
Cu (0.4445, 0.5555, 0.7500)  2 F 2.00
Cu (0.5555, 0.4445, 0.2500)  2 F 2.00
F (0.0000, 0.0000, 0.0000)  2 Tl 2.29, 2 F 2.45
F (0.0000, 0.0000, 0.5000)  2 Tl 2.29, 2 F 2.45
F (0.0745, 0.4328, 0.7500)  1 Cu 2.00
F (0.4328, 0.0745, 0.2500)  1 Cu 2.00
F (0.5672, 0.9255, 0.7500)  1 Cu 2.00
F (0.9255, 0.5672, 0.2500)  1 Cu 2.00



(2)
A geometry-optimized Er2ScHg8 structure. Source: Alexandria, functional GGA-PBE.

Properties
**Electronic total energy**: -1.885 eV/atom
**Fermi-level density of states**: 0.51 states/eV per atom
**ΔH_f (0 K)**: -260 meV per atom

abc: 8.2516 8.2516 7.1217
angles: 108.57 108.57 34.55
With the nearest neighbours (Å) after each atom.
Atoms (fractional coordinates):
Er (0.2140, 0.2140, 0.1584)  10 Hg 3.11-3.27
Er (0.7860, 0.7860, 0.8416)  10 Hg 3.11-3.27
Sc (0.5000, 0.5000, 0.5000)  8 Hg 2.94-3.20
Hg (0.0266, 0.0266, 0.2354)  7 Hg 3.07-3.23, 1 Er 3.18, 2 Sc 3.20
Hg (0.1520, 0.1520, 0.6809)  7 Hg 3.07-3.35, 3 Er 3.19-3.21, 2 Sc 3.37
Hg (0.3346, 0.3346, 0.6038)  1 Sc 2.94, 6 Hg 3.05-3.23, 3 Er 3.11-3.21
Hg (0.4022, 0.4022, 0.0582)  1 Sc 3.01, 5 Hg 3.05-3.35, 3 Er 3.14-3.27
Hg (0.5978, 0.5978, 0.9418)  1 Sc 3.01, 5 Hg 3.05-3.35, 3 Er 3.14-3.27
Hg (0.6654, 0.6654, 0.3962)  1 Sc 2.94, 6 Hg 3.05-3.23, 3 Er 3.11-3.21
Hg (0.8480, 0.8480, 0.3191)  7 Hg 3.07-3.35, 3 Er 3.19-3.21, 2 Sc 3.37
Hg (0.9734, 0.9734, 0.7647)  7 Hg 3.07-3.23, 1 Er 3.18, 2 Sc 3.20



(3)
A geometry-optimized Ca2TcTe structure. Source: Alexandria, functional GGA-PBE.

Properties
**Electronic total energy**: -4.321 eV/atom
**ΔE_f (raw)**: 0.06 eV per atom
**Fermi-level density of states**: 0.70 states/eV per atom

abc: 4.6487 4.6487 8.7331
angles: 90.00 90.00 90.00
With the nearest neighbours (Å) after each atom.
Atoms (fractional coordinates):
Ca (0.0000, 0.5000, 0.2500)  4 Tc 3.19, 4 Te 3.19, 4 Ca 3.29
Ca (0.0000, 0.5000, 0.7500)  4 Tc 3.19, 4 Te 3.19, 4 Ca 3.29
Ca (0.5000, 0.0000, 0.2500)  4 Tc 3.19, 4 Te 3.19, 4 Ca 3.29
Ca (0.5000, 0.0000, 0.7500)  4 Tc 3.19, 4 Te 3.19, 4 Ca 3.29
Tc (0.0000, 0.0000, 0.0000)  8 Ca 3.19, 4 Te 3.29
Tc (0.5000, 0.5000, 0.5000)  8 Ca 3.19, 4 Te 3.29
Te (0.0000, 0.0000, 0.5000)  8 Ca 3.19, 4 Tc 3.29
Te (0.5000, 0.5000, 0.0000)  8 Ca 3.19, 4 Tc 3.29



(4)
A geometry-optimized La2ZrHgRh structure. Source: Alexandria, functional GGA-PBE.

Properties
**Energy above the most stable polymorph in this dataset**: 0.0000 eV/atom
**Electronic total energy**: -4.481 eV/atom
**Fermi-level density of states**: 1.58 states/eV per atom
**ΔH_f (0 K)**: 731 meV per atom

abc: 5.8071 5.8071 4.9810
angles: 90.00 90.00 90.00
With the nearest neighbours (Å) after each atom.
Atoms (fractional coordinates):
La (0.0000, 0.5000, 0.0000)  2 Hg 2.90
La (0.5000, 0.0000, 0.0000)  2 Hg 2.90
Zr (0.0000, 0.0000, 0.5000)  8 La 3.83, 4 Rh 4.11
Hg (0.5000, 0.5000, 0.0000)  2 Rh 2.49
Rh (0.5000, 0.5000, 0.5000)  2 Hg 2.49



(5)
A geometry-optimized Rb2TcIr structure. Source: Alexandria, functional GGA-PBE.

Properties
**Energy above the most stable polymorph in this dataset**: 0.0000 eV/atom
**Electronic total energy**: -4.102 eV/atom
**Fermi-level density of states**: 1.36 states/eV per atom
**ΔH_f (0 K)**: 1189 meV per atom

abc: 13.1778 13.1778 4.6800
angles: 90.00 90.00 90.00
With the nearest neighbours (Å) after each atom.
Atoms (fractional coordinates):
Rb (0.0580, 0.2500, 0.1250)  2 Tc 3.43, 2 Ir 3.81
Rb (0.2500, 0.5580, 0.3750)  2 Tc 3.43, 2 Ir 3.81
Rb (0.2500, 0.9420, 0.8750)  2 Tc 3.43, 2 Ir 3.81
Rb (0.4420, 0.2500, 0.6250)  2 Tc 3.43, 2 Ir 3.81
Rb (0.5580, 0.7500, 0.6250)  2 Tc 3.43, 2 Ir 3.81
Rb (0.7500, 0.0580, 0.8750)  2 Tc 3.43, 2 Ir 3.81
Rb (0.7500, 0.4420, 0.3750)  2 Tc 3.43, 2 Ir 3.81
Rb (0.9420, 0.7500, 0.1250)  2 Tc 3.43, 2 Ir 3.81
Tc (0.0000, 0.0000, 0.0000)  2 Ir 2.34
Tc (0.0000, 0.5000, 0.2500)  2 Ir 2.34
Tc (0.5000, 0.0000, 0.7500)  2 Ir 2.34
Tc (0.5000, 0.5000, 0.5000)  2 Ir 2.34
Ir (0.0000, 0.0000, 0.5000)  2 Tc 2.34
Ir (0.0000, 0.5000, 0.7500)  2 Tc 2.34
Ir (0.5000, 0.0000, 0.2500)  2 Tc 2.34
Ir (0.5000, 0.5000, 0.0000)  2 Tc 2.34



(6)
A geometry-optimized Tb2PmNd3 structure. Source: Alexandria, functional GGA-PBE.

Properties
**Energy above the most stable polymorph in this dataset**: 0.0000 eV/atom
**Electronic total energy**: -4.710 eV/atom
**Fermi-level density of states**: 1.44 states/eV per atom
**ΔH_f (0 K)**: 9 meV per atom

abc: 6.2982 6.2982 12.0619
angles: 110.37 110.37 70.50
With the nearest neighbours (Å) after each atom.
Atoms (fractional coordinates):
Tb (0.0412, 0.2915, 0.0828)  2 Tb 3.63, 8 Nd 3.63-3.64, 2 Pm 3.64
Tb (0.2915, 0.0412, 0.5828)  2 Tb 3.63, 8 Nd 3.63-3.64, 2 Pm 3.64
Tb (0.7085, 0.9588, 0.4172)  2 Tb 3.63, 8 Nd 3.63-3.64, 2 Pm 3.64
Tb (0.9588, 0.7085, 0.9172)  2 Tb 3.63, 8 Nd 3.63-3.64, 2 Pm 3.64
Pm (0.3755, 0.6245, 0.7500)  8 Nd 3.63-3.64, 4 Tb 3.64
Pm (0.6245, 0.3755, 0.2500)  8 Nd 3.63-3.64, 4 Tb 3.64
Nd (0.1245, 0.8755, 0.2500)  6 Tb 3.63-3.64, 4 Nd 3.63-3.64, 2 Pm 3.63
Nd (0.2080, 0.4586, 0.4164)  5 Tb 3.63-3.64, 3 Pm 3.63-3.64, 4 Nd 3.63-3.64
Nd (0.4586, 0.2080, 0.9164)  5 Tb 3.63-3.64, 3 Pm 3.63-3.64, 4 Nd 3.63-3.64
Nd (0.5414, 0.7920, 0.0836)  5 Tb 3.63-3.64, 3 Pm 3.63-3.64, 4 Nd 3.63-3.64
Nd (0.7920, 0.5414, 0.5836)  5 Tb 3.63-3.64, 3 Pm 3.63-3.64, 4 Nd 3.63-3.64
Nd (0.8755, 0.1245, 0.7500)  6 Tb 3.63-3.64, 4 Nd 3.63-3.64, 2 Pm 3.63



(7)
A geometry-optimized Ce4Ga4Hg structure. Source: Alexandria, functional GGA-PBE.

Properties
**Electronic total energy**: -4.153 eV/atom
**Fermi-level density of states**: 1.89 states/eV per atom
**ΔH_f (0 K)**: -136 meV per atom

abc: 6.8462 6.8462 9.5781
angles: 90.00 90.00 90.00
With the nearest neighbours (Å) after each atom.
Atoms (fractional coordinates):
Ce (0.0203, 0.2500, 0.1892)  3 Ce 2.86-3.15, 5 Ga 3.02-3.07
Ce (0.2500, 0.0203, 0.6892)  3 Ce 2.86-3.15, 5 Ga 3.02-3.07
Ce (0.2500, 0.4797, 0.6892)  3 Ce 2.86-3.15, 5 Ga 3.02-3.07
Ce (0.4797, 0.2500, 0.1892)  3 Ce 2.86-3.15, 5 Ga 3.02-3.07
Ce (0.5203, 0.7500, 0.8108)  3 Ce 2.86-3.15, 5 Ga 3.02-3.07
Ce (0.7500, 0.5203, 0.3108)  3 Ce 2.86-3.15, 5 Ga 3.02-3.07
Ce (0.7500, 0.9797, 0.3108)  3 Ce 2.86-3.15, 5 Ga 3.02-3.07
Ce (0.9797, 0.7500, 0.8108)  3 Ce 2.86-3.15, 5 Ga 3.02-3.07
Ga (0.0284, 0.7500, 0.4918)  1 Hg 2.77, 5 Ce 3.02-3.07, 1 Ga 3.03
Ga (0.2500, 0.5284, 0.0082)  1 Hg 2.77, 5 Ce 3.02-3.07, 1 Ga 3.03
Ga (0.2500, 0.9716, 0.0082)  1 Hg 2.77, 5 Ce 3.02-3.07, 1 Ga 3.03
Ga (0.4716, 0.7500, 0.4918)  1 Hg 2.77, 5 Ce 3.02-3.07, 1 Ga 3.03
Ga (0.5284, 0.2500, 0.5082)  1 Hg 2.77, 5 Ce 3.02-3.07, 1 Ga 3.03
Ga (0.7500, 0.0284, 0.9918)  1 Hg 2.77, 5 Ce 3.02-3.07, 1 Ga 3.03
Ga (0.7500, 0.4716, 0.9918)  1 Hg 2.77, 5 Ce 3.02-3.07, 1 Ga 3.03
Ga (0.9716, 0.2500, 0.5082)  1 Hg 2.77, 5 Ce 3.02-3.07, 1 Ga 3.03
Hg (0.2500, 0.7500, 0.2500)  4 Ga 2.77
Hg (0.7500, 0.2500, 0.7500)  4 Ga 2.77



(8)
A geometry-optimized Nd2Zn5Ge3 structure. Source: Alexandria, functional GGA-PBE.

Properties
**Electronic total energy**: -3.293 eV/atom
**Fermi-level density of states**: 0.42 states/eV per atom
**ΔH_f (0 K)**: -318 meV per atom

abc: 4.3891 4.3891 10.2337
angles: 90.00 90.00 90.00
With the nearest neighbours (Å) after each atom.
Atoms (fractional coordinates):
Nd (0.0000, 0.5000, 0.2432)  10 Zn 3.32-3.42, 6 Ge 3.32-3.42
Nd (0.5000, 0.0000, 0.7568)  10 Zn 3.32-3.42, 6 Ge 3.32-3.42
Zn (0.0000, 0.0000, 0.0000)  4 Zn 2.52
Zn (0.0000, 0.0000, 0.5000)  4 Ge 2.63
Zn (0.0000, 0.5000, 0.8791)  1 Ge 2.43, 4 Zn 2.52
Zn (0.5000, 0.0000, 0.1209)  1 Ge 2.43, 4 Zn 2.52
Zn (0.5000, 0.5000, 0.0000)  4 Zn 2.52
Ge (0.0000, 0.5000, 0.6416)  3 Zn 2.43-2.63, 2 Ge 2.63
Ge (0.5000, 0.0000, 0.3584)  3 Zn 2.43-2.63, 2 Ge 2.63
Ge (0.5000, 0.5000, 0.5000)  4 Ge 2.63



(9)
A geometry-optimized Rb2CdGa structure. Source: Alexandria, functional GGA-PBE.

Properties
**Energy above the most stable polymorph in this dataset**: 0.1659 eV/atom
**Electronic total energy**: -1.095 eV/atom
**Fermi-level density of states**: 0.82 states/eV per atom
**ΔH_f (0 K)**: 374 meV per atom

abc: 4.0007 4.0007 38.9641
angles: 90.00 90.00 120.00
With the nearest neighbours (Å) after each atom.
Atoms (fractional coordinates):
Rb (0.0000, 0.0000, 0.0891)  1 Ga 3.47, 3 Cd 3.80
Rb (0.0000, 0.0000, 0.9109)  1 Ga 3.47, 3 Cd 3.80
Rb (0.3333, 0.6667, 0.5775)  1 Ga 3.47, 3 Cd 3.80
Rb (0.3333, 0.6667, 0.7558)  1 Ga 3.47, 3 Cd 3.80
Rb (0.6667, 0.3333, 0.2442)  1 Ga 3.47, 3 Cd 3.80
Rb (0.6667, 0.3333, 0.4225)  1 Ga 3.47, 3 Cd 3.80
Cd (0.0000, 0.0000, 0.5000)  6 Rb 3.80, 6 Cd 4.00
Cd (0.3333, 0.6667, 0.1667)  6 Rb 3.80, 6 Cd 4.00
Cd (0.6667, 0.3333, 0.8333)  6 Rb 3.80, 6 Cd 4.00
Ga (0.0000, 0.0000, 0.0000)  2 Rb 3.47
Ga (0.3333, 0.6667, 0.6667)  2 Rb 3.47
Ga (0.6667, 0.3333, 0.3333)  2 Rb 3.47



(10)
A geometry-optimized Nd3Be2Co7 structure. Source: Alexandria, functional GGA-PBE.

Properties
**Electronic total energy**: -6.067 eV/atom
**Fermi-level density of states**: 1.30 states/eV per atom
**ΔH_f (0 K)**: -108 meV per atom

abc: 8.3470 8.3470 8.3470
angles: 35.31 35.31 35.31
With the nearest neighbours (Å) after each atom.
Atoms (fractional coordinates):
Nd (0.0000, 0.0000, 0.0000)  6 Be 2.92, 12 Co 3.09
Nd (0.1405, 0.1405, 0.1405)  12 Co 2.95-3.12, 4 Nd 3.17-3.29
Nd (0.8595, 0.8595, 0.8595)  12 Co 2.95-3.12, 4 Nd 3.17-3.29
Be (0.3330, 0.3330, 0.3330)  6 Co 2.30
Be (0.6670, 0.6670, 0.6670)  6 Co 2.30
Co (0.0793, 0.5739, 0.5739)  2 Be 2.30, 4 Co 2.50-2.56
Co (0.4261, 0.4261, 0.9207)  2 Be 2.30, 4 Co 2.50-2.56
Co (0.4261, 0.9207, 0.4261)  2 Be 2.30, 4 Co 2.50-2.56
Co (0.5000, 0.5000, 0.5000)  6 Co 2.58
Co (0.5739, 0.0793, 0.5739)  2 Be 2.30, 4 Co 2.50-2.56
Co (0.5739, 0.5739, 0.0793)  2 Be 2.30, 4 Co 2.50-2.56
Co (0.9207, 0.4261, 0.4261)  2 Be 2.30, 4 Co 2.50-2.56



(11)
A geometry-optimized LaTe2Os structure. Source: Alexandria, functional GGA-PBE.

Properties
**Energy above the most stable polymorph in this dataset**: 0.0000 eV/atom
**Electronic total energy**: -6.044 eV/atom
**ΔE_f (raw)**: -0.43 eV per atom
**Fermi-level density of states**: 0.77 states/eV per atom

abc: 10.4573 4.0111 6.1845
angles: 90.00 114.47 90.00
With the nearest neighbours (Å) after each atom.
Atoms (fractional coordinates):
La (0.0000, 0.0000, 0.0000)  3 Os 2.92-3.08, 2 Te 3.21-3.23
La (0.5000, 0.5000, 0.0000)  3 Os 2.92-3.08, 2 Te 3.21-3.23
Te (0.1488, 0.0000, 0.6342)  2 Os 2.69
Te (0.3371, 0.0000, 0.2599)  2 Os 2.71
Te (0.6488, 0.5000, 0.6342)  2 Os 2.69
Te (0.8371, 0.5000, 0.2599)  2 Os 2.71
Os (0.2095, 0.5000, 0.9507)  4 Te 2.69-2.71, 1 La 2.92
Os (0.7095, 0.0000, 0.9507)  4 Te 2.69-2.71, 1 La 2.92